(1)
VASP calculation (PBE) on Nd4OsPtCl2 after structural relaxation.

Formation energy from raw total energies: -1.087 eV per atom

Cell and atoms, written as CIF:
```
data_Nd4OsPtCl2
_chemical_formula_sum 'Nd4 Os1 Pt1 Cl2'
_cell_length_a 7.1632
_cell_length_b 4.1575
_cell_length_c 7.9044
_cell_angle_alpha 90.00
_cell_angle_beta 107.32
_cell_angle_gamma 90.00
_symmetry_space_group_name_H-M 'P 1'
_symmetry_Int_Tables_number 1
loop_
_symmetry_equiv_pos_as_xyz
'x,y,z'
loop_
_atom_site_label
_atom_site_fract_x
_atom_site_fract_y
_atom_site_fract_z
_atom_site_occupancy
Nd1 0.2243 0.0000 0.2073 1
Nd2 0.2563 0.5000 0.7959 1
Nd3 0.7437 0.5000 0.2041 1
Nd4 0.7757 0.0000 0.7927 1
Os1 0.0000 0.5000 0.0000 1
Pt1 0.5000 0.0000 0.0000 1
Cl1 0.0000 0.0000 0.5000 1
Cl2 0.5000 0.5000 0.5000 1
```

***

(2)
VASP calculation (PBE) on Nd4OsRhCl2 after structural relaxation.

Formation energy from raw total energies: -0.967 eV per atom

Cell and atoms, written as CIF:
```
data_Nd4OsRhCl2
_chemical_formula_sum 'Nd4 Os1 Rh1 Cl2'
_cell_length_a 7.0720
_cell_length_b 4.0793
_cell_length_c 7.9619
_cell_angle_alpha 90.00
_cell_angle_beta 107.15
_cell_angle_gamma 90.00
_symmetry_space_group_name_H-M 'P 1'
_symmetry_Int_Tables_number 1
loop_
_symmetry_equiv_pos_as_xyz
'x,y,z'
loop_
_atom_site_label
_atom_site_fract_x
_atom_site_fract_y
_atom_site_fract_z
_atom_site_occupancy
Nd1 0.2319 0.0000 0.2079 1
Nd2 0.2594 0.5000 0.7952 1
Nd3 0.7406 0.5000 0.2048 1
Nd4 0.7681 0.0000 0.7921 1
Os1 0.0000 0.5000 0.0000 1
Rh1 0.5000 0.0000 0.0000 1
Cl1 0.0000 0.0000 0.5000 1
Cl2 0.5000 0.5000 0.5000 1
```

***

(3)
VASP calculation (PBE) on Nd8OsRh3Cl4 after structural relaxation.

Formation energy from raw total energies: -1.078 eV per atom

Cell and atoms, written as CIF:
```
data_Nd8OsRh3Cl4
_chemical_formula_sum 'Nd8 Os1 Rh3 Cl4'
_cell_length_a 8.9557
_cell_length_b 8.9557
_cell_length_c 8.9557
_cell_angle_alpha 54.19
_cell_angle_beta 54.19
_cell_angle_gamma 54.19
_symmetry_space_group_name_H-M 'P 1'
_symmetry_Int_Tables_number 1
loop_
_symmetry_equiv_pos_as_xyz
'x,y,z'
loop_
_atom_site_label
_atom_site_fract_x
_atom_site_fract_y
_atom_site_fract_z
_atom_site_occupancy
Nd1 0.2342 0.2342 0.2342 1
Nd2 0.2402 0.7331 0.7331 1
Nd3 0.2669 0.2669 0.7598 1
Nd4 0.2669 0.7598 0.2669 1
Nd5 0.7331 0.2402 0.7331 1
Nd6 0.7331 0.7331 0.2402 1
Nd7 0.7598 0.2669 0.2669 1
Nd8 0.7658 0.7658 0.7658 1
Os1 0.5000 0.5000 0.5000 1
Rh1 0.0000 0.0000 0.5000 1
Rh2 0.0000 0.5000 0.0000 1
Rh3 0.5000 0.0000 0.0000 1
Cl1 0.0000 0.0000 0.0000 1
Cl2 0.0000 0.5000 0.5000 1
Cl3 0.5000 0.0000 0.5000 1
Cl4 0.5000 0.5000 0.0000 1
```

***

(4)
VASP calculation (PBE) on Nd6Os2SCl3 after structural relaxation.

Formation energy from raw total energies: -1.125 eV per atom

Cell and atoms, written as CIF:
```
data_Nd6Os2SCl3
_chemical_formula_sum 'Nd6 Os2 S1 Cl3'
_cell_length_a 7.1802
_cell_length_b 7.1802
_cell_length_c 7.7795
_cell_angle_alpha 98.83
_cell_angle_beta 98.83
_cell_angle_gamma 120.00
_symmetry_space_group_name_H-M 'P 1'
_symmetry_Int_Tables_number 1
loop_
_symmetry_equiv_pos_as_xyz
'x,y,z'
loop_
_atom_site_label
_atom_site_fract_x
_atom_site_fract_y
_atom_site_fract_z
_atom_site_occupancy
Nd1 0.0838 0.4313 0.7924 1
Nd2 0.2207 0.2207 0.2065 1
Nd3 0.4313 0.0838 0.7924 1
Nd4 0.5687 0.9162 0.2076 1
Nd5 0.7793 0.7793 0.7935 1
Nd6 0.9162 0.5687 0.2076 1
Os1 0.1670 0.8330 0.0000 1
Os2 0.8330 0.1670 0.0000 1
S1 0.5000 0.5000 0.0000 1
Cl1 0.0000 0.0000 0.5000 1
Cl2 0.3359 0.6641 0.5000 1
Cl3 0.6641 0.3359 0.5000 1
```

***

(5)
VASP calculation (PBE) on Nd4OsSCl2 after structural relaxation.

Formation energy from raw total energies: -1.247 eV per atom

Cell and atoms, written as CIF:
```
data_Nd4OsSCl2
_chemical_formula_sum 'Nd4 Os1 S1 Cl2'
_cell_length_a 7.3675
_cell_length_b 4.0431
_cell_length_c 7.5366
_cell_angle_alpha 90.00
_cell_angle_beta 107.20
_cell_angle_gamma 90.00
_symmetry_space_group_name_H-M 'P 1'
_symmetry_Int_Tables_number 1
loop_
_symmetry_equiv_pos_as_xyz
'x,y,z'
loop_
_atom_site_label
_atom_site_fract_x
_atom_site_fract_y
_atom_site_fract_z
_atom_site_occupancy
Nd1 0.2238 0.0000 0.2113 1
Nd2 0.2560 0.5000 0.7895 1
Nd3 0.7440 0.5000 0.2105 1
Nd4 0.7762 0.0000 0.7887 1
Os1 0.0000 0.5000 0.0000 1
S1 0.5000 0.0000 0.0000 1
Cl1 0.0000 0.0000 0.5000 1
Cl2 0.5000 0.5000 0.5000 1
```

***

(6)
VASP calculation (PBE) on Nd4OsSeCl2 after structural relaxation.

Formation energy from raw total energies: -1.205 eV per atom

Cell and atoms, written as CIF:
```
data_Nd4OsSeCl2
_chemical_formula_sum 'Nd4 Os1 Se1 Cl2'
_cell_length_a 7.4702
_cell_length_b 4.1055
_cell_length_c 7.5835
_cell_angle_alpha 90.00
_cell_angle_beta 107.58
_cell_angle_gamma 90.00
_symmetry_space_group_name_H-M 'P 1'
_symmetry_Int_Tables_number 1
loop_
_symmetry_equiv_pos_as_xyz
'x,y,z'
loop_
_atom_site_label
_atom_site_fract_x
_atom_site_fract_y
_atom_site_fract_z
_atom_site_occupancy
Nd1 0.2130 0.0000 0.2170 1
Nd2 0.2203 0.5000 0.7613 1
Nd3 0.7797 0.5000 0.2387 1
Nd4 0.7870 0.0000 0.7830 1
Os1 0.0000 0.5000 0.0000 1
Se1 0.0000 0.0000 0.5000 1
Cl1 0.5000 0.0000 0.0000 1
Cl2 0.5000 0.5000 0.5000 1
```

***

(7)
VASP calculation (PBE) on Nd4OsSe2Cl after structural relaxation.

Formation energy from raw total energies: -1.247 eV per atom

Cell and atoms, written as CIF:
```
data_Nd4OsSe2Cl
_chemical_formula_sum 'Nd4 Os1 Se2 Cl1'
_cell_length_a 7.3735
_cell_length_b 4.1267
_cell_length_c 7.4314
_cell_angle_alpha 90.00
_cell_angle_beta 107.59
_cell_angle_gamma 90.00
_symmetry_space_group_name_H-M 'P 1'
_symmetry_Int_Tables_number 1
loop_
_symmetry_equiv_pos_as_xyz
'x,y,z'
loop_
_atom_site_label
_atom_site_fract_x
_atom_site_fract_y
_atom_site_fract_z
_atom_site_occupancy
Nd1 0.2263 0.0000 0.2306 1
Nd2 0.2277 0.5000 0.7563 1
Nd3 0.7723 0.5000 0.2437 1
Nd4 0.7737 0.0000 0.7694 1
Os1 0.0000 0.5000 0.0000 1
Se1 0.0000 0.0000 0.5000 1
Se2 0.5000 0.5000 0.5000 1
Cl1 0.5000 0.0000 0.0000 1
```

***

(8)
VASP calculation (PBE) on Nd3OsSeCl after structural relaxation.

Formation energy from raw total energies: -0.975 eV per atom

Cell and atoms, written as CIF:
```
data_Nd3OsSeCl
_chemical_formula_sum 'Nd6 Os2 Se2 Cl2'
_cell_length_a 8.9049
_cell_length_b 3.8885
_cell_length_c 11.2269
_cell_angle_alpha 90.00
_cell_angle_beta 93.30
_cell_angle_gamma 90.00
_symmetry_space_group_name_H-M 'P 1'
_symmetry_Int_Tables_number 1
loop_
_symmetry_equiv_pos_as_xyz
'x,y,z'
loop_
_atom_site_label
_atom_site_fract_x
_atom_site_fract_y
_atom_site_fract_z
_atom_site_occupancy
Nd1 0.1140 0.2500 0.3932 1
Nd2 0.1263 0.7500 0.8669 1
Nd3 0.3690 0.7500 0.6229 1
Nd4 0.6310 0.2500 0.3771 1
Nd5 0.8737 0.2500 0.1331 1
Nd6 0.8860 0.7500 0.6068 1
Os1 0.1335 0.2500 0.6718 1
Os2 0.8665 0.7500 0.3282 1
Se1 0.3722 0.7500 0.3591 1
Se2 0.6278 0.2500 0.6409 1
Cl1 0.1757 0.2500 0.0699 1
Cl2 0.8243 0.7500 0.9301 1
```

***

Repeat the seventh record exactly.
VASP calculation (PBE) on Nd4OsSe2Cl after structural relaxation.

Formation energy from raw total energies: -1.247 eV per atom

Cell and atoms, written as CIF:
```
data_Nd4OsSe2Cl
_chemical_formula_sum 'Nd4 Os1 Se2 Cl1'
_cell_length_a 7.3735
_cell_length_b 4.1267
_cell_length_c 7.4314
_cell_angle_alpha 90.00
_cell_angle_beta 107.59
_cell_angle_gamma 90.00
_symmetry_space_group_name_H-M 'P 1'
_symmetry_Int_Tables_number 1
loop_
_symmetry_equiv_pos_as_xyz
'x,y,z'
loop_
_atom_site_label
_atom_site_fract_x
_atom_site_fract_y
_atom_site_fract_z
_atom_site_occupancy
Nd1 0.2263 0.0000 0.2306 1
Nd2 0.2277 0.5000 0.7563 1
Nd3 0.7723 0.5000 0.2437 1
Nd4 0.7737 0.0000 0.7694 1
Os1 0.0000 0.5000 0.0000 1
Se1 0.0000 0.0000 0.5000 1
Se2 0.5000 0.5000 0.5000 1
Cl1 0.5000 0.0000 0.0000 1
```

***

> Which of these has the highest formation energy from raw total energies?

Nd4OsRhCl2